Record 1
Below is crystalline BaPmGeS4 at its relaxed geometry, with properties calculated at the PBE level.

The calculation puts the formation energy from raw total energies at -1355 meV per atom.

a = 6.910 Å, b = 6.773 Å, c = 8.497 Å
α = 90.00°, β = 108.52°, γ = 90.00°
Fractional positions:
1 Ba 0.237 0.250 0.433
2 Ba 0.763 0.750 0.567
3 Pm 0.282 0.250 0.945
4 Pm 0.718 0.750 0.055
5 Ge 0.271 0.750 0.188
6 Ge 0.729 0.250 0.812
7 S 0.050 0.750 0.925
8 S 0.052 0.750 0.354
9 S 0.494 0.511 0.776
10 S 0.494 0.989 0.776
11 S 0.506 0.011 0.224
12 S 0.506 0.489 0.224
13 S 0.948 0.250 0.646
14 S 0.950 0.250 0.075

=====

Record 2
Below is crystalline Ba2PmGeS5 at its relaxed geometry, with properties calculated at the PBE level.

The calculation puts the formation energy from raw total energies at -1621 meV per atom.

a = 9.297 Å, b = 9.297 Å, c = 12.846 Å
α = 90.00°, β = 90.00°, γ = 152.94°
Fractional positions:
1 Ba 0.119 0.881 0.500
2 Ba 0.126 0.874 0.146
3 Ba 0.874 0.126 0.646
4 Ba 0.881 0.119 0.000
5 Pm 0.202 0.798 0.843
6 Pm 0.798 0.202 0.343
7 Ge 0.448 0.552 0.247
8 Ge 0.552 0.448 0.747
9 S 0.038 0.962 0.822
10 S 0.300 0.700 0.482
11 S 0.321 0.679 0.191
12 S 0.350 0.650 0.824
13 S 0.499 0.501 0.587
14 S 0.501 0.499 0.087
15 S 0.650 0.350 0.324
16 S 0.679 0.321 0.691
17 S 0.700 0.300 0.982
18 S 0.962 0.038 0.322

=====

Record 3
Below is crystalline Ba2PmGeSe5 at its relaxed geometry, with properties calculated at the PBE level.

The calculation puts the formation energy from raw total energies at -1539 meV per atom.

a = 9.722 Å, b = 9.722 Å, c = 13.246 Å
α = 90.00°, β = 90.00°, γ = 153.15°
Fractional positions:
1 Ba 0.120 0.880 0.500
2 Ba 0.123 0.877 0.144
3 Ba 0.877 0.123 0.644
4 Ba 0.880 0.120 0.000
5 Pm 0.203 0.797 0.841
6 Pm 0.797 0.203 0.341
7 Ge 0.445 0.555 0.246
8 Ge 0.555 0.445 0.746
9 Se 0.039 0.961 0.829
10 Se 0.300 0.700 0.483
11 Se 0.318 0.682 0.186
12 Se 0.352 0.648 0.822
13 Se 0.499 0.501 0.581
14 Se 0.501 0.499 0.081
15 Se 0.648 0.352 0.322
16 Se 0.682 0.318 0.686
17 Se 0.700 0.300 0.983
18 Se 0.961 0.039 0.329

=====

Record 4
Below is crystalline Ba2PmGeTe5 at its relaxed geometry, with properties calculated at the PBE level.

The calculation puts the formation energy from raw total energies at -1220 meV per atom.

a = 10.530 Å, b = 10.530 Å, c = 13.827 Å
α = 90.00°, β = 90.00°, γ = 153.79°
Fractional positions:
1 Ba 0.119 0.881 0.500
2 Ba 0.121 0.879 0.135
3 Ba 0.879 0.121 0.635
4 Ba 0.881 0.119 0.000
5 Pm 0.207 0.793 0.838
6 Pm 0.793 0.207 0.338
7 Ge 0.440 0.560 0.255
8 Ge 0.560 0.440 0.755
9 Te 0.046 0.954 0.852
10 Te 0.295 0.705 0.486
11 Te 0.315 0.685 0.181
12 Te 0.356 0.644 0.819
13 Te 0.499 0.501 0.083
14 Te 0.501 0.499 0.583
15 Te 0.644 0.356 0.319
16 Te 0.685 0.315 0.681
17 Te 0.705 0.295 0.986
18 Te 0.954 0.046 0.352

=====

Record 5
Below is crystalline BaPmZn2Ge2 at its relaxed geometry, with properties calculated at the PBE level.

The calculated formation energy is -573 meV per atom.

a = 4.333 Å, b = 4.333 Å, c = 9.142 Å
α = 90.00°, β = 90.00°, γ = 120.00°
Fractional positions:
1 Ba 0.000 0.000 0.000
2 Pm 0.000 0.000 0.500
3 Zn 0.333 0.667 0.715
4 Zn 0.667 0.333 0.285
5 Ge 0.333 0.667 0.278
6 Ge 0.667 0.333 0.722

=====

Record 6
Below is crystalline BaPmZnGe at its relaxed geometry, with properties calculated at the PBE level.

The calculated formation energy is -303 meV per atom.

a = 5.441 Å, b = 5.441 Å, c = 5.441 Å
α = 60.00°, β = 60.00°, γ = 60.00°
Fractional positions:
1 Ba 0.000 0.000 0.000
2 Pm 0.500 0.500 0.500
3 Zn 0.750 0.750 0.750
4 Ge 0.250 0.250 0.250

=====

Record 7
Below is crystalline BaPrGe at its relaxed geometry, with properties calculated at the PBE level.

The calculated formation energy is -302 meV per atom.

a = 13.896 Å, b = 3.958 Å, c = 3.958 Å
α = 89.92°, β = 90.00°, γ = 90.00°
Fractional positions:
1 Ba 0.144 0.000 0.000
2 Ba 0.856 0.000 0.000
3 Pr 0.393 0.502 0.502
4 Pr 0.607 0.502 0.502
5 Ge 0.000 0.500 0.500
6 Ge 0.500 0.002 0.002

=====

Record 8
Below is crystalline BaPrGe at its relaxed geometry, with properties calculated at the PBE level.

The calculated formation energy is -411 meV per atom.

a = 5.872 Å, b = 5.872 Å, c = 11.055 Å
α = 114.64°, β = 114.64°, γ = 44.20°
Fractional positions:
1 Ba 0.207 0.207 0.152
2 Ba 0.793 0.793 0.848
3 Pr 0.411 0.411 0.607
4 Pr 0.589 0.589 0.393
5 Ge 0.125 0.125 0.600
6 Ge 0.875 0.875 0.400

=====

Record 9
Below is crystalline BaPrGe at its relaxed geometry, with properties calculated at the PBE level.

The calculated formation energy is -371 meV per atom.

a = 5.041 Å, b = 5.041 Å, c = 5.023 Å
α = 90.00°, β = 90.00°, γ = 120.00°
Fractional positions:
1 Ba 0.000 0.000 0.000
2 Pr 0.667 0.333 0.482
3 Ge 0.333 0.667 0.581

=====

Record 10
Below is crystalline BaPrGe2 at its relaxed geometry, with properties calculated at the PBE level.

The calculated formation energy is -393 meV per atom.

a = 6.930 Å, b = 6.930 Å, c = 6.930 Å
α = 41.51°, β = 41.51°, γ = 41.51°
Fractional positions:
1 Ba 0.000 0.000 0.000
2 Pr 0.500 0.500 0.500
3 Ge 0.225 0.225 0.225
4 Ge 0.775 0.775 0.775

=====

Record 11
Below is crystalline Ba2PrGe3Pt4 at its relaxed geometry, with properties calculated at the PBE level.

The calculated formation energy is -783 meV per atom.

a = 4.562 Å, b = 4.562 Å, c = 11.196 Å
α = 90.00°, β = 90.00°, γ = 90.00°
Fractional positions:
1 Ba 0.000 0.500 0.231
2 Ba 0.500 0.000 0.769
3 Pr 0.000 0.000 0.500
4 Ge 0.000 0.500 0.890
5 Ge 0.500 0.000 0.110
6 Ge 0.500 0.500 0.500
7 Pt 0.000 0.000 0.000
8 Pt 0.000 0.500 0.661
9 Pt 0.500 0.000 0.339
10 Pt 0.500 0.500 0.000

=====

Record 12
Below is crystalline Ba2PrGeS5 at its relaxed geometry, with properties calculated at the PBE level.

The calculation puts the formation energy from raw total energies at -1612 meV per atom.

a = 9.333 Å, b = 9.333 Å, c = 12.897 Å
α = 90.00°, β = 90.00°, γ = 152.91°
Fractional positions:
1 Ba 0.118 0.882 0.500
2 Ba 0.125 0.875 0.149
3 Ba 0.875 0.125 0.649
4 Ba 0.882 0.118 0.000
5 Pr 0.201 0.799 0.844
6 Pr 0.799 0.201 0.344
7 Ge 0.449 0.551 0.245
8 Ge 0.551 0.449 0.745
9 S 0.035 0.965 0.818
10 S 0.299 0.701 0.486
11 S 0.323 0.677 0.190
12 S 0.350 0.650 0.825
13 S 0.498 0.502 0.585
14 S 0.502 0.498 0.085
15 S 0.650 0.350 0.325
16 S 0.677 0.323 0.690
17 S 0.701 0.299 0.986
18 S 0.965 0.035 0.318